[1]
The following is a DFT calculation (PBE) of a relaxed structure of Tb7NdY2.

Lattice parameters (Å, degrees): 9.627 9.627 5.343 90.00 90.00 126.70
Fractional positions:
Tb  0.000  0.000  0.000
Tb  0.212  0.431  0.000
Tb  0.301  0.699  0.500
Tb  0.431  0.212  0.000
Tb  0.569  0.788  0.000
Tb  0.699  0.301  0.500
Tb  0.788  0.569  0.000
Nd  0.500  0.500  0.500
Y  0.204  0.796  0.000
Y  0.796  0.204  0.000

The value obtained for the density of states at the Fermi level is 15.50 states/eV per cell. The value obtained for the raw total energy is -4.31 eV/atom. The offset from the most stable computed form comes out at 649.7 meV/atom. The calculation puts the total moment at 0.00 μB per cell. Its calculated formation energy is 6.97 eV per formula unit. Its space group is Cmmm (65).

---

[2]
The following is a DFT calculation (PBE) of a relaxed structure of HWBr3.

Lattice parameters (Å, degrees): 10.810 10.810 6.034 105.02 105.02 90.25
Fractional positions:
H  0.139  0.226  0.124
H  0.226  0.139  0.624
H  0.774  0.861  0.376
H  0.861  0.774  0.876
W  0.266  0.734  0.250
W  0.266  0.734  0.750
W  0.734  0.266  0.250
W  0.734  0.266  0.750
Br  0.072  0.780  0.431
Br  0.118  0.584  0.862
Br  0.220  0.928  0.069
Br  0.310  0.540  0.430
Br  0.416  0.882  0.638
Br  0.460  0.690  0.070
Br  0.540  0.310  0.930
Br  0.584  0.118  0.362
Br  0.690  0.460  0.570
Br  0.780  0.072  0.931
Br  0.882  0.416  0.138
Br  0.928  0.220  0.569

The value obtained for the raw total energy is -4.07 eV/atom. The offset from the most stable computed form comes out at 0.0 meV/atom. The calculation puts the total moment at 12.67 μB per cell. Its space group is C2/c (15).